Entry from the Alexandria database: a geometry-optimized LiFeNiW structure (PBE).

Cell: 4.101 4.101 4.101 Å, 60.00 60.00 60.00°
Site moments in Bohr magnetons follow the coordinates.
Sites, in units of the cell vectors:
Ni 0.500 0.500 0.500  0.16
Li 0.750 0.750 0.750  0.00
W 0.250 0.250 0.250  -0.04
Fe 0.000 0.000 0.000  0.47

Summary:
* total moment: 0.589 μB per formula unit
* formation energy: 0.19 eV per atom
* ρ: 10.40 g/cm3
* SG: No. 216
* DFT total energy: -28.36 eV per formula unit

***

Entry from the Alexandria database: a geometry-optimized LiNpFe4 structure (PBE).

Cell: 4.894 4.894 4.894 Å, 60.00 60.00 60.00°
Site moments in Bohr magnetons follow the coordinates.
Sites, in units of the cell vectors:
Np 0.000 0.000 0.000  -3.68
Fe 0.624 0.127 0.624  1.96
Fe 0.624 0.624 0.624  1.96
Fe 0.127 0.624 0.624  1.96
Fe 0.624 0.624 0.127  1.96
Li 0.250 0.250 0.250  -0.07

Summary:
* total moment: 3.718 μB per formula unit
* formation energy: 0.16 eV per atom
* ρ: 9.36 g/cm3
* SG: No. 216
* DFT total energy: -47.75 eV per formula unit

***

Q: Among the records above, which one has the lowest ρ?
A: LiNpFe4

***

Q: formation energy of number 2 (LiNpFe4)?
A: 0.16 eV per atom